Entry from Alexandria via LeMat-Bulk: a relaxed RuPt3C crystal (GGA-PBE).

Unit cell a=4.785 b=4.785 c=4.785 alpha=90.00 beta=90.00 gamma=90.00
Element x y z (fractional)
Ru  0.000  0.000  0.000
C  0.500  0.500  0.500
Pt  0.000  0.500  0.000
Pt  0.000  0.000  0.500
Pt  0.500  0.000  0.000

Output
Volume: 21.91 A^3/atom
ΔE to the lowest computed polymorph: 1.932 eV per atom
Formation enthalpy at 0 K: 2.67 eV per atom
Space group: Pm-3m (221)